Entry 1:
The following is a meta-GGA SCAN calculation of a crystal of HfTiO4 relaxed with PBEsol, from Alexandria via LeMat-Bulk.

Cell: 4.6930 5.0643 5.6095 Å, 90.00 90.00 90.00°
With the nearest neighbours (Å) after each atom.
Element x y z (fractional)
O 0.7803 0.6608 0.1462  2 Hf 2.01-2.04, 1 Ti 2.05
O 0.2803 0.8392 0.8538  2 Hf 2.01-2.04, 1 Ti 2.05
O 0.7341 0.6749 0.6258  2 Ti 1.89-2.00
O 0.2341 0.8251 0.3742  2 Ti 1.89-2.00
O 0.2197 0.3392 0.1462  2 Hf 2.01-2.04, 1 Ti 2.05
O 0.2659 0.3251 0.6258  2 Ti 1.89-2.00
O 0.7659 0.1749 0.3742  2 Ti 1.89-2.00
O 0.7197 0.1608 0.8538  2 Hf 2.01-2.04, 1 Ti 2.05
Hf 0.5000 0.5000 0.9181  6 O 2.01-2.16
Hf 0.0000 0.0000 0.0819  6 O 2.01-2.16
Ti 0.5000 0.0000 0.5734  6 O 1.89-2.05
Ti 0.0000 0.5000 0.4266  6 O 1.89-2.05

**VASP energy**: -125.0 eV/f.u.
**E_form (uncorrected)**: -3559.7 meV/atom
**Spin magnetization**: 0.00 μB/atom
**Symmetry**: P2_12_12, No. 18

=====

Entry 2:
The following is a meta-GGA SCAN calculation of a crystal of HfTlZnO2 relaxed with PBEsol, from Alexandria via LeMat-Bulk.

Cell: 4.2017 4.2017 5.0044 Å, 90.00 90.00 90.00°
With the nearest neighbours (Å) after each atom.
Element x y z (fractional)
Hf 0.5000 0.5000 0.5000  4 Zn 2.97, 8 O 3.27
O 0.5000 0.0000 0.0000  2 Tl 2.10
O 0.0000 0.5000 0.0000  2 Tl 2.10
Zn 0.0000 0.0000 0.5000  2 Tl 2.50
Tl 0.0000 0.0000 0.0000  4 O 2.10

**VASP energy**: -158.8 eV/f.u.
**E_form (uncorrected)**: 443.7 meV/atom
**Spin magnetization**: 0.00 μB/atom
**Symmetry**: P4/mmm, No. 123

=====

Entry 3:
The following is a meta-GGA SCAN calculation of a crystal of YHf3O relaxed with PBEsol, from Alexandria via LeMat-Bulk.

Cell: 5.0485 5.0485 5.0485 Å, 90.00 90.00 90.00°
With the nearest neighbours (Å) after each atom.
Element x y z (fractional)
Hf 0.5000 0.0000 0.0000  2 Y 2.52
Hf 0.0000 0.0000 0.5000  2 Y 2.52
Hf 0.0000 0.5000 0.0000  2 Y 2.52
O 0.5000 0.5000 0.5000  12 Hf 3.57
Y 0.0000 0.0000 0.0000  6 Hf 2.52

**VASP energy**: -211.4 eV/f.u.
**E_form (uncorrected)**: 2140.2 meV/atom
**Spin magnetization**: 0.00 μB/atom
**Symmetry**: Pm-3m, No. 221

=====

Entry 4:
The following is a meta-GGA SCAN calculation of a crystal of HfZn3O relaxed with PBEsol, from Alexandria via LeMat-Bulk.

Cell: 5.2109 5.2109 5.2109 Å, 90.00 90.00 90.00°
With the nearest neighbours (Å) after each atom.
Element x y z (fractional)
Zn 0.0000 0.0000 0.5000  2 Hf 2.61
Zn 0.5000 0.0000 0.0000  2 Hf 2.61
Zn 0.0000 0.5000 0.0000  2 Hf 2.61
O 0.5000 0.5000 0.5000  12 Zn 3.68
Hf 0.0000 0.0000 0.0000  6 Zn 2.61

**VASP energy**: -102.2 eV/f.u.
**Excess energy over the best structure of this formula in the dataset**: 1403 meV/atom
**E_form (uncorrected)**: 1443.9 meV/atom
**Spin magnetization**: 0.08 μB/atom
**Symmetry**: Pm-3m, No. 221